Run w
VASP calculation (PBE) on crystalline UTaNb at its relaxed geometry.

The density of states at the Fermi level is 5.22 states/eV/f.u.

Cell: 5.2897 2.8199 7.9033 Å, 90.00 90.00 90.00°
Closest atoms and distances in Å follow each position.
Space group Pmma (No. 51)
Symmetry-distinct sites (fractional):
U 0.0000 0.0000 0.0000 x2  4 U 2.64-2.82
Ta 0.2500 0.0000 0.3446 x2  2 Ta 2.82, 6 Nb 2.84-3.00, 2 U 3.03
Nb 0.2500 0.5000 0.6570 x2  2 Nb 2.82, 6 Ta 2.84-3.00

---

Run x
VASP calculation (PBE) on crystalline UTaNb at its relaxed geometry.

The density of states at the Fermi level is 5.93 states/eV/f.u.

Cell: 3.4301 3.4301 9.8941 Å, 90.00 90.00 90.00°
Closest atoms and distances in Å follow each position.
Space group I4mm (No. 107)
Symmetry-distinct sites (fractional):
U 0.0000 0.0000 0.0000 x2  4 Nb 2.86, 4 Ta 2.95
Ta 0.0000 0.0000 0.6704 x2  5 U 2.95-3.26, 5 Nb 2.98-3.21
Nb 0.0000 0.0000 0.3460 x2  4 U 2.86, 4 Ta 2.98

---

Going by the computed energies, the most stable comes first: run x, run w.

---

Run w
VASP calculation (PBE) on crystalline TaNb2V2 at its relaxed geometry.

The density of states at the Fermi level is 5.27 states/eV/f.u.

Cell: 3.8353 3.8353 11.8931 Å, 90.00 90.00 90.00°
Closest atoms and distances in Å follow each position.
Space group I4/mmm (No. 139)
Symmetry-distinct sites (fractional):
Ta 0.0000 0.0000 0.0000 x2  8 V 2.88
Nb 0.0000 0.5000 0.2500 x4  4 Nb 2.71, 4 V 2.78
V 0.0000 0.0000 0.4197 x4  1 V 1.91

---

Run x
VASP calculation (PBE) on crystalline TaNb2V2 at its relaxed geometry.

The density of states at the Fermi level is 6.33 states/eV/f.u.

Cell: 7.3284 7.3284 3.1463 Å, 90.00 90.00 90.00°
Closest atoms and distances in Å follow each position.
Space group P4/mbm (No. 127)
Symmetry-distinct sites (fractional):
Ta 0.0000 0.0000 0.0000 x2  4 V 3.02, 8 Nb 3.07, 2 Ta 3.15
Nb 0.2058 0.2942 0.5000 x4  6 V 2.55-2.85
V 0.1006 0.6006 0.0000 x4  1 V 2.09

---

Going by the computed energies, the most stable comes first: run x, run w.

---

Run w
VASP calculation (PBE) on crystalline TaNb2V at its relaxed geometry.

The density of states at the Fermi level is 7.86 states/eV/f.u.

Cell: 4.5916 4.5916 3.2695 Å, 90.00 90.00 90.00°
Closest atoms and distances in Å follow each position.
Space group P4/mmm (No. 123)
Symmetry-distinct sites (fractional):
Ta 0.0000 0.0000 0.0000 x1  8 Nb 2.82
Nb 0.0000 0.5000 0.5000 x2  4 Ta 2.82, 4 V 2.82
V 0.5000 0.5000 0.0000 x1  8 Nb 2.82

---

Run x
VASP calculation (PBE) on crystalline TaNb2V at its relaxed geometry.

The density of states at the Fermi level is 5.26 states/eV/f.u.

Cell: 3.0808 3.0808 25.6843 Å, 90.00 90.00 120.00°
Closest atoms and distances in Å follow each position.
Space group R-3m (No. 166, hexagonal axes)
Symmetry-distinct sites (fractional):
Ta 0.0000 0.0000 0.0000 x3  6 Nb 2.90, 6 Ta 3.08
Nb 0.0000 0.0000 0.2441 x6  3 V 2.67, 3 Ta 2.90
V 0.0000 0.0000 0.5000 x3  6 Nb 2.67

---

Run y
VASP calculation (PBE) on crystalline TaNb2V at its relaxed geometry.

The density of states at the Fermi level is 6.98 states/eV/f.u.

Cell: 5.6255 9.1901 3.2339 Å, 90.00 124.83 90.00°
Closest atoms and distances in Å follow each position.
Space group C2/m (No. 12)
Symmetry-distinct sites (fractional):
Ta 0.0000 0.0000 0.0000 x2  4 V 2.81-2.82, 4 Nb 2.87
Nb 0.0000 0.2586 0.5000 x4  2 V 2.74, 4 Nb 2.82-2.83, 2 Ta 2.87
V 0.0000 0.5000 0.0000 x2  4 Nb 2.74, 4 Ta 2.81-2.82

---

Run z
VASP calculation (PBE) on crystalline TaNb2V at its relaxed geometry.

The density of states at the Fermi level is 5.44 states/eV/f.u.

Cell: 7.2206 7.2206 5.5572 Å, 90.00 90.00 90.00°
Closest atoms and distances in Å follow each position.
Space group I-42d (No. 122)
Symmetry-distinct sites (fractional):
Ta 0.0000 0.0000 0.0000 x4  4 Nb 2.74, 2 V 2.78
Nb 0.2309 0.7500 0.6250 x8  2 V 2.55, 2 Ta 2.74, 2 Nb 2.79
V 0.0000 0.0000 0.5000 x4  4 Nb 2.55, 2 Ta 2.78

---

Going by the computed energies, the most stable comes first: run y, run w, run x, run z.

---

Run w
VASP calculation (PBE) on crystalline TaNb3V at its relaxed geometry.

The density of states at the Fermi level is 3.98 states/eV/f.u.

Cell: 4.6258 4.6258 4.6258 Å, 90.00 90.00 90.00°
Closest atoms and distances in Å follow each position.
Space group Pm-3m (No. 221)
Symmetry-distinct sites (fractional):
Ta 0.0000 0.0000 0.0000 x1  12 Nb 3.27
Nb 0.0000 0.5000 0.5000 x3  2 V 2.31
V 0.5000 0.5000 0.5000 x1  6 Nb 2.31

---

Run x
VASP calculation (PBE) on crystalline TaNb3V at its relaxed geometry.

The density of states at the Fermi level is 8.35 states/eV/f.u.

Cell: 9.8450 4.6146 7.9539 Å, 90.00 105.44 90.00°
Closest atoms and distances in Å follow each position.
Space group C2/m (No. 12)
Symmetry-distinct sites (fractional):
Ta 0.1533 0.0000 0.0505 x4  7 Nb 2.83-2.89, 1 Ta 2.91
Nb 0.0481 0.5000 0.8434 x4  1 V 2.76, 4 Nb 2.83-2.89, 3 Ta 2.83-2.86
Nb 0.0540 0.0000 0.3567 x4  4 Nb 2.76-2.88, 3 V 2.79-2.83, 1 Ta 2.86
Nb 0.2497 0.0000 0.7374 x4  3 V 2.74-2.78, 2 Nb 2.83-2.88, 3 Ta 2.87-2.89
V 0.1480 0.5000 0.5505 x4  7 Nb 2.74-2.83, 1 V 2.81

---

Going by the computed energies, the most stable comes first: run x, run w.